Record 1
A plane-wave DFT calculation with PBE was carried out for Pm3NiPb after structural relaxation.

Results
Its distance to the lowest polymorph of the same formula is 55 meV per atom. As for the formation energy from the elements: -20 kJ per mole of atoms. As for the density of states at the Fermi level: 16.2 states/eV/cell. The space group is Pm-3m, No. 221.

abc: 7.4045 7.4045 7.4045
angles: 90.00 90.00 90.00
Element x y z (fractional)
Pm1 0.0000 0.0000 0.0000
Pm2 0.2706 0.2706 0.2706
Pm3 0.2706 0.2706 0.7294
Pm4 0.2706 0.7294 0.2706
Pm5 0.2706 0.7294 0.7294
Pm6 0.7294 0.2706 0.2706
Pm7 0.7294 0.2706 0.7294
Pm8 0.7294 0.7294 0.2706
Pm9 0.7294 0.7294 0.7294
Ni1 0.0000 0.5000 0.5000
Ni2 0.5000 0.0000 0.5000
Ni3 0.5000 0.5000 0.0000
Pb1 0.0000 0.0000 0.5000
Pb2 0.0000 0.5000 0.0000
Pb3 0.5000 0.0000 0.0000

---

Record 2
A plane-wave DFT calculation with PBE was carried out for MgSbRh2 after structural relaxation.

Results
The raw total energy comes out at -5.55 eV/atom. As for the density of states at the Fermi level: 2.4 states/eV/cell. The space group is P4/mmm, No. 123.

abc: 3.2787 3.2787 6.1500
angles: 90.00 90.00 90.00
Element x y z (fractional)
Mg1 0.0000 0.0000 0.0000
Sb1 0.0000 0.0000 0.5000
Rh1 0.5000 0.5000 0.2556
Rh2 0.5000 0.5000 0.7444

---

Record 3
A plane-wave DFT calculation with PBE was carried out for RbReOs2 after structural relaxation.

Results
Its distance to the lowest polymorph of the same formula is 0 meV per atom. As for the formation energy from the elements: 169 kJ per mole of atoms. As for the density of states at the Fermi level: 3.5 states/eV/cell. The space group is I-42d, No. 122.

abc: 6.1897 6.1897 6.1897
angles: 105.60 105.60 117.52
Element x y z (fractional)
Rb1 0.0000 0.0000 0.0000
Rb2 0.7500 0.2500 0.5000
Re1 0.2500 0.7500 0.5000
Re2 0.5000 0.5000 0.0000
Os1 0.1998 0.1250 0.5748
Os2 0.3750 0.8002 0.9252
Os3 0.5502 0.6250 0.4252
Os4 0.8750 0.4498 0.0748

---

> What is the formula in the third record?

RbReOs2